(1)
Crystalline MnPW2 at its relaxed geometry. Source: Alexandria via LeMat-Bulk, functional GGA-PBE.

Unit cell a=2.838 b=3.841 c=5.062 alpha=90.00 beta=90.00 gamma=90.00
Space group Pmmm (No. 47)
Asymmetric unit:
Mn 0.000 0.000 0.000 [1 per cell]
P 0.000 0.000 0.500 [1 per cell]
W 0.500 0.500 0.251 [2 per cell]

Volume = 55 Å³/f.u.
Total moment = 0.026 μB/atom
ΔE_f = 0.21 eV/atom

(2)
Crystalline MnPW2 at its relaxed geometry. Source: Alexandria via LeMat-Bulk, functional GGA-PBE.

Unit cell a=2.939 b=3.835 c=4.978 alpha=90.00 beta=90.00 gamma=90.00
Space group Pmm2 (No. 25)
Asymmetric unit:
Mn 0.000 0.000 0.000 [1 per cell]
P 0.500 0.500 0.242 [1 per cell]
W 0.000 0.000 0.472 [1 per cell]
W 0.500 0.500 0.760 [1 per cell]

Volume = 56 Å³/f.u.
Total moment = 0.001 μB/atom
ΔE_f = 0.17 eV/atom

(3)
Crystalline MnPW2 at its relaxed geometry. Source: Alexandria via LeMat-Bulk, functional GGA-PBE.

Unit cell a=2.9143 b=2.9143 c=23.8987 alpha=90.00 beta=90.00 gamma=120.00
Space group R-3m (No. 166, hexagonal axes)
Asymmetric unit:
Mn 0.0000 0.0000 0.0000 [3 per cell]
P 0.0000 0.0000 0.5000 [3 per cell]
W 0.0000 0.0000 0.2453 [6 per cell]

Volume = 59 Å³/f.u.
Total moment = 0.624 μB/atom
ΔE_f = 0.28 eV/atom

(4)
Crystalline Mn2PW at its relaxed geometry. Source: Alexandria via LeMat-Bulk, functional GGA-PBE.

Unit cell a=5.020 b=8.366 c=2.731 alpha=90.00 beta=116.09 gamma=90.00
Space group C2/m (No. 12)
Asymmetric unit:
Mn 0.250 0.250 0.000 [4 per cell]
P 0.000 0.000 0.500 [2 per cell]
W 0.000 0.500 0.500 [2 per cell]

Volume = 52 Å³/f.u.
Total moment = 0.837 μB/atom
ΔE_f = 0.15 eV/atom

(5)
Crystalline MnPW2 at its relaxed geometry. Source: Alexandria via LeMat-Bulk, functional GGA-PBE.

Unit cell a=3.596 b=3.596 c=8.555 alpha=90.00 beta=90.00 gamma=90.00
Space group I-4m2 (No. 119)
Asymmetric unit:
Mn 0.000 0.000 0.000 [2 per cell]
P 0.000 0.500 0.750 [2 per cell]
W 0.000 0.000 0.500 [2 per cell]
W 0.000 0.500 0.250 [2 per cell]

Volume = 55 Å³/f.u.
Total moment = 0.260 μB/atom
ΔE_f = 0.22 eV/atom

(6)
Crystalline MnPW2 at its relaxed geometry. Source: Alexandria via LeMat-Bulk, functional GGA-PBE.

Unit cell a=2.927 b=2.927 c=6.406 alpha=90.00 beta=90.00 gamma=90.00
Space group P4/mmm (No. 123)
Asymmetric unit:
Mn 0.000 0.000 0.000 [1 per cell]
P 0.000 0.000 0.500 [1 per cell]
W 0.500 0.500 0.262 [2 per cell]

Volume = 55 Å³/f.u.
Total moment = 0.311 μB/atom
ΔE_f = 0.08 eV/atom

(7)
Crystalline Mn2PW at its relaxed geometry. Source: Alexandria via LeMat-Bulk, functional GGA-PBE.

Unit cell a=2.772 b=3.721 c=4.819 alpha=90.00 beta=90.00 gamma=90.00
Space group Pmm2 (No. 25)
Asymmetric unit:
Mn 0.000 0.000 0.000 [1 per cell]
Mn 0.500 0.500 0.278 [1 per cell]
P 0.000 0.000 0.476 [1 per cell]
W 0.500 0.500 0.766 [1 per cell]

Volume = 50 Å³/f.u.
Total moment = 0.000 μB/atom
ΔE_f = 0.06 eV/atom

(8)
Crystalline Mn2PW at its relaxed geometry. Source: Alexandria via LeMat-Bulk, functional GGA-PBE.

Unit cell a=6.693 b=6.693 c=4.977 alpha=90.00 beta=90.00 gamma=90.00
Space group I-42d (No. 122)
Asymmetric unit:
Mn 0.209 0.250 0.125 [8 per cell]
P 0.000 0.000 0.000 [4 per cell]
W 0.000 0.000 0.500 [4 per cell]

Volume = 56 Å³/f.u.
Total moment = 1.203 μB/atom
ΔE_f = 0.31 eV/atom

(9)
Crystalline MnP4W at its relaxed geometry. Source: Alexandria via LeMat-Bulk, functional GGA-PBE.

Unit cell a=6.928 b=6.928 c=6.928 alpha=90.00 beta=90.00 gamma=90.00
Space group F-43m (No. 216)
Asymmetric unit:
Mn 0.000 0.000 0.000 [4 per cell]
P 0.125 0.125 0.625 [16 per cell]
W 0.250 0.250 0.250 [4 per cell]

Volume = 83 Å³/f.u.
Total moment = 0.487 μB/atom
Offset from the most stable computed form = 931 meV/atom
ΔE_f = 0.79 eV/atom

(10)
Crystalline MnPW2 at its relaxed geometry. Source: Alexandria via LeMat-Bulk, functional GGA-PBE.

Unit cell a=3.097 b=3.995 c=4.461 alpha=90.00 beta=90.00 gamma=90.00
Space group Pmmm (No. 47)
Asymmetric unit:
Mn 0.000 0.000 0.000 [1 per cell]
P 0.500 0.000 0.500 [1 per cell]
W 0.000 0.500 0.500 [1 per cell]
W 0.500 0.500 0.000 [1 per cell]

Volume = 55 Å³/f.u.
Total moment = 0.000 μB/atom
ΔE_f = 0.15 eV/atom

(11)
Crystalline MnPW2 at its relaxed geometry. Source: Alexandria via LeMat-Bulk, functional GGA-PBE.

Unit cell a=3.265 b=4.486 c=7.728 alpha=90.00 beta=90.00 gamma=90.00
Space group Cmm2 (No. 35)
Asymmetric unit:
Mn 0.000 0.000 0.000 [2 per cell]
P 0.000 0.500 0.202 [2 per cell]
W 0.000 0.000 0.446 [2 per cell]
W 0.000 0.500 0.732 [2 per cell]

Volume = 57 Å³/f.u.
Total moment = 0.457 μB/atom
ΔE_f = 0.09 eV/atom

(12)
Crystalline ZrMn2PW at its relaxed geometry. Source: Alexandria via LeMat-Bulk, functional GGA-PBE.

Unit cell a=4.187 b=4.187 c=4.559 alpha=90.00 beta=90.00 gamma=90.00
Space group P4/mmm (No. 123)
Asymmetric unit:
Zr 0.000 0.000 0.000 [1 per cell]
Mn 0.000 0.500 0.500 [2 per cell]
P 0.500 0.500 0.500 [1 per cell]
W 0.500 0.500 0.000 [1 per cell]

Volume = 80 Å³/f.u.
Total moment = 0.529 μB/atom
ΔE_f = 0.15 eV/atom

(13)
Crystalline ZrMnP2W at its relaxed geometry. Source: Alexandria via LeMat-Bulk, functional GGA-PBE.

Unit cell a=4.569 b=4.569 c=5.270 alpha=90.00 beta=90.00 gamma=90.00
Space group P4/mmm (No. 123)
Asymmetric unit:
Zr 0.000 0.000 0.000 [1 per cell]
Mn 0.500 0.500 0.000 [1 per cell]
P 0.000 0.500 0.500 [2 per cell]
W 0.000 0.000 0.500 [1 per cell]

Volume = 110 Å³/f.u.
Total moment = 0.068 μB/atom
ΔE_f = 1.20 eV/atom

(14)
Crystalline Y2MnP at its relaxed geometry. Source: Alexandria via LeMat-Bulk, functional GGA-PBE.

Unit cell a=3.576 b=3.576 c=6.727 alpha=90.00 beta=90.00 gamma=90.00
Space group P4/mmm (No. 123)
Asymmetric unit:
Y 0.000 0.000 0.235 [2 per cell]
Mn 0.500 0.500 0.500 [1 per cell]
P 0.500 0.500 0.000 [1 per cell]

Volume = 86 Å³/f.u.
Total moment = 0.696 μB/atom
ΔE_f = -0.49 eV/atom

(15)
Crystalline YMnP at its relaxed geometry. Source: Alexandria via LeMat-Bulk, functional GGA-PBE.

Unit cell a=3.090 b=3.090 c=10.206 alpha=90.00 beta=90.00 gamma=90.00
Space group I4mm (No. 107)
Asymmetric unit:
Y 0.000 0.000 0.000 [2 per cell]
Mn 0.000 0.000 0.705 [2 per cell]
P 0.000 0.000 0.294 [2 per cell]

Volume = 49 Å³/f.u.
Total moment = 0.000 μB/atom
ΔE_f = -0.41 eV/atom